# CaY2C PBE-GGA optimized geometry
# * VASP energy: -6.158 eV per atom
# * calculated density: 3.5 g/cm³
# * symmetry: No. 166
# * size of the total moment: 0.48 μB/f.u.
data_CaY2C
_chemical_formula_sum 'Ca1 Y2 C1'
_space_group_name_H-M_alt 'P 1'
_space_group_IT_number 1
_space_group_name_Hall 'P 1'
_cell_length_a 9.9701
_cell_length_b 9.9701
_cell_length_c 9.9701
_cell_angle_alpha 20.91
_cell_angle_beta 20.91
_cell_angle_gamma 20.91
loop_
_atom_site_label
_atom_site_type_symbol
_atom_site_fract_x
_atom_site_fract_y
_atom_site_fract_z
Ca1 Ca 0.0000 0.0000 0.0000
Y1 Y 0.1209 0.1209 0.1209
Y2 Y 0.8791 0.8791 0.8791
C1 C 0.5000 0.5000 0.5000